[1]
A geometry-optimized LaZnP2 structure, computed with PBE.

a = 4.6954 Å, b = 4.6954 Å, c = 4.0258 Å
α = 90.00°, β = 90.00°, γ = 90.00°
Positions (direct):
La  0.0000  0.0000  0.0000
Zn  0.5000  0.5000  0.3467
P  0.0000  0.5000  0.4923
P  0.5000  0.0000  0.4923

## Properties
- ΔH_f (0 K): -0.615 eV per atom
- Density of states at the Fermi level: 2.3 states/eV/cell
- Electronic total energy: -0.358 Ry per atom

[2]
A geometry-optimized LaZnP structure, computed with PBE.

a = 4.6368 Å, b = 4.6368 Å, c = 4.6368 Å
α = 60.00°, β = 60.00°, γ = 60.00°
Positions (direct):
La  0.0000  0.0000  0.0000
Zn  0.7500  0.7500  0.7500
P  0.5000  0.5000  0.5000

## Properties
- ΔH_f (0 K): -0.424 eV per atom
- Density of states at the Fermi level: 2.8 states/eV/cell
- Electronic total energy: -0.316 Ry per atom

[3]
A geometry-optimized LaZn4P structure, computed with PBE.

a = 5.4621 Å, b = 5.4621 Å, c = 5.4621 Å
α = 60.00°, β = 60.00°, γ = 60.00°
Positions (direct):
La  0.0000  0.0000  0.0000
Zn  0.3766  0.3766  0.3766
Zn  0.3766  0.3766  0.8703
Zn  0.3766  0.8703  0.3766
Zn  0.8703  0.3766  0.3766
P  0.7500  0.7500  0.7500

## Properties
- ΔH_f (0 K): -0.066 eV per atom
- Density of states at the Fermi level: 1.8 states/eV/cell
- Electronic total energy: -0.194 Ry per atom

[4]
A geometry-optimized LaZnP structure, computed with PBE.

a = 5.9774 Å, b = 5.7233 Å, c = 3.6247 Å
α = 75.82°, β = 68.17°, γ = 36.01°
Positions (direct):
La  0.0000  0.0000  0.0000
Zn  0.2973  0.2973  0.7027
P  0.6795  0.6795  0.3205

## Properties
- ΔH_f (0 K): -0.513 eV per atom
- Density of states at the Fermi level: 0.6 states/eV/cell
- Electronic total energy: -0.322 Ry per atom

[5]
A geometry-optimized LaZnP2 structure, computed with PBE.

a = 4.1880 Å, b = 3.9217 Å, c = 5.3388 Å
α = 90.00°, β = 90.19°, γ = 90.00°
Positions (direct):
La  0.0000  0.0000  0.0000
Zn  0.5000  0.0000  0.5000
P  0.4976  0.5000  0.7922
P  0.5024  0.5000  0.2078

## Properties
- ΔH_f (0 K): -0.672 eV per atom
- Density of states at the Fermi level: 1.3 states/eV/cell
- Electronic total energy: -0.362 Ry per atom

[6]
A geometry-optimized LaZnP3 structure, computed with PBE.

a = 4.7014 Å, b = 4.7014 Å, c = 4.7014 Å
α = 90.00°, β = 90.00°, γ = 90.00°
Positions (direct):
La  0.0000  0.0000  0.0000
Zn  0.5000  0.5000  0.5000
P  0.0000  0.5000  0.5000
P  0.5000  0.0000  0.5000
P  0.5000  0.5000  0.0000

## Properties
- ΔH_f (0 K): -0.123 eV per atom
- Density of states at the Fermi level: 3.2 states/eV/cell
- Distance to the lowest polymorph of the same formula: 0 meV per atom
- Electronic total energy: -0.339 Ry per atom

[7]
A geometry-optimized LaZnP structure, computed with PBE.

a = 4.7248 Å, b = 4.7248 Å, c = 4.7248 Å
α = 60.00°, β = 60.00°, γ = 60.00°
Positions (direct):
La  0.0000  0.0000  0.0000
Zn  0.5000  0.5000  0.5000
P  0.2500  0.2500  0.2500

## Properties
- ΔH_f (0 K): -0.503 eV per atom
- Density of states at the Fermi level: 2.6 states/eV/cell
- Electronic total energy: -0.321 Ry per atom

[8]
A geometry-optimized LaZn5P4 structure, computed with PBE.

a = 7.9717 Å, b = 7.9717 Å, c = 7.9717 Å
α = 150.84°, β = 125.95°, γ = 62.59°
Positions (direct):
La  0.0000  0.0000  0.0000
Zn  0.0377  0.3253  0.7124
Zn  0.3871  0.6747  0.7124
Zn  0.5000  0.0000  0.5000
Zn  0.6129  0.3253  0.2876
Zn  0.9623  0.6747  0.2876
P  0.2246  0.2246  0.0000
P  0.2854  0.5000  0.7854
P  0.7146  0.5000  0.2146
P  0.7754  0.7754  0.0000

## Properties
- ΔH_f (0 K): -0.297 eV per atom
- Density of states at the Fermi level: 2.6 states/eV/cell
- Electronic total energy: -0.264 Ry per atom

[9]
A geometry-optimized La2Zn2P structure, computed with PBE.

a = 7.1779 Å, b = 7.1779 Å, c = 4.5992 Å
α = 90.00°, β = 90.00°, γ = 90.00°
Positions (direct):
La  0.1759  0.3241  0.0000
La  0.3241  0.8241  0.0000
La  0.6759  0.1759  0.0000
La  0.8241  0.6759  0.0000
Zn  0.1255  0.6255  0.5000
Zn  0.3745  0.1255  0.5000
Zn  0.6255  0.8745  0.5000
Zn  0.8745  0.3745  0.5000
P  0.0000  0.0000  0.5000
P  0.5000  0.5000  0.5000

## Properties
- ΔH_f (0 K): -0.418 eV per atom
- Density of states at the Fermi level: 8.6 states/eV/cell
- Electronic total energy: -0.293 Ry per atom

[10]
A geometry-optimized LaZnP structure, computed with PBE.

a = 4.1362 Å, b = 4.1362 Å, c = 4.2977 Å
α = 90.00°, β = 90.00°, γ = 120.00°
Positions (direct):
La  0.0000  0.0000  0.0000
Zn  0.3333  0.6667  0.5131
P  0.6667  0.3333  0.4934

## Properties
- ΔH_f (0 K): -0.876 eV per atom
- Density of states at the Fermi level: 0.3 states/eV/cell
- Electronic total energy: -0.349 Ry per atom

[11]
A geometry-optimized LaZnP2 structure, computed with PBE.

a = 4.3225 Å, b = 4.3225 Å, c = 5.3144 Å
α = 114.02°, β = 114.02°, γ = 89.73°
Positions (direct):
La  0.0000  0.0000  0.0000
Zn  0.5000  0.5000  0.0000
P  0.2498  0.7502  0.5000
P  0.7502  0.2498  0.5000

## Properties
- ΔH_f (0 K): -0.379 eV per atom
- Density of states at the Fermi level: 1.8 states/eV/cell
- Electronic total energy: -0.341 Ry per atom

[12]
A geometry-optimized La2ZnP structure, computed with PBE.

a = 3.7799 Å, b = 3.7799 Å, c = 7.0344 Å
α = 90.00°, β = 90.00°, γ = 90.00°
Positions (direct):
La  0.0000  0.0000  0.2298
La  0.0000  0.0000  0.7702
Zn  0.5000  0.5000  0.5000
P  0.5000  0.5000  0.0000

## Properties
- ΔH_f (0 K): -0.783 eV per atom
- Density of states at the Fermi level: 2.8 states/eV/cell
- Distance to the lowest polymorph of the same formula: 120 meV per atom
- Electronic total energy: -0.361 Ry per atom